(1)
Computed, not measured: a relaxed structure of K2CaV at the GGA-PBE level of DFT.

CIF file:
```
data_K2CaV
_cell_length_a 8.806
_cell_length_b 8.806
_cell_length_c 8.806
_cell_angle_alpha 90.00
_cell_angle_beta 90.00
_cell_angle_gamma 90.00
_space_group_name_H-M_alt 'F m -3 m'
_space_group_IT_number 225
_space_group_name_Hall '-F 4 2 3'
loop_
_atom_site_label
_atom_site_fract_x
_atom_site_fract_y
_atom_site_fract_z
K1 0.250 0.250 0.250
Ca1 0.000 0.000 0.000
V1 0.000 0.000 0.500
```

Results
polymorph energy (0 for the lowest one): 0.043 eV/atom


(2)
Computed, not measured: a relaxed structure of Pr6Nd2Y3Ho at the GGA-PBE level of DFT.

CIF file:
```
data_Pr6Nd2Y3Ho
_cell_length_a 6.354
_cell_length_b 11.009
_cell_length_c 12.032
_cell_angle_alpha 90.00
_cell_angle_beta 100.12
_cell_angle_gamma 90.00
_space_group_name_H-M_alt 'C 1 2/m 1'
_space_group_IT_number 12
_space_group_name_Hall '-C 2y'
loop_
_atom_site_label
_atom_site_fract_x
_atom_site_fract_y
_atom_site_fract_z
Pr1 0.248 0.000 0.248
Pr2 0.250 0.166 0.752
Nd1 0.000 0.333 0.500
Y1 0.000 0.166 0.000
Y2 0.000 0.500 0.000
Ho1 0.000 0.000 0.500
```

Results
raw total energy: -5.172 eV per atom


(3)
Computed, not measured: a relaxed structure of Zr5In2Os2Ru at the GGA-PBE level of DFT.

CIF file:
```
data_Zr5In2Os2Ru
_cell_length_a 11.328
_cell_length_b 11.328
_cell_length_c 3.274
_cell_angle_alpha 90.00
_cell_angle_beta 90.00
_cell_angle_gamma 90.00
_space_group_name_H-M_alt 'P 4/m b m'
_space_group_IT_number 127
_space_group_name_Hall '-P 4 2ab'
loop_
_atom_site_label
_atom_site_fract_x
_atom_site_fract_y
_atom_site_fract_z
Zr1 0.000 0.500 0.000
Zr2 0.066 0.191 0.000
In1 0.175 0.675 0.500
Os1 0.136 0.364 0.500
Ru1 0.000 0.000 0.500
```

Results
raw total energy: -8.258 eV per atom


(4)
Computed, not measured: a relaxed structure of NiHgCl2 at the GGA-PBE level of DFT.

CIF file:
```
data_NiHgCl2
_cell_length_a 3.665
_cell_length_b 3.665
_cell_length_c 6.960
_cell_angle_alpha 90.00
_cell_angle_beta 90.00
_cell_angle_gamma 90.00
_space_group_name_H-M_alt 'P 4 m m'
_space_group_IT_number 99
_space_group_name_Hall 'P 4 -2'
loop_
_atom_site_label
_atom_site_fract_x
_atom_site_fract_y
_atom_site_fract_z
Ni1 0.000 0.000 0.000
Hg1 0.500 0.500 0.895
Cl1 0.000 0.000 0.687
Cl2 0.500 0.500 0.267
```

Results
polymorph energy (0 for the lowest one): 0.469 eV/atom


(5)
Computed, not measured: a relaxed structure of Be2NiHg at the GGA-PBE level of DFT.

CIF file:
```
data_Be2NiHg
_cell_length_a 7.743
_cell_length_b 2.976
_cell_length_c 4.512
_cell_angle_alpha 90.00
_cell_angle_beta 104.17
_cell_angle_gamma 90.00
_space_group_name_H-M_alt 'C 1 2/m 1'
_space_group_IT_number 12
_space_group_name_Hall '-C 2y'
loop_
_atom_site_label
_atom_site_fract_x
_atom_site_fract_y
_atom_site_fract_z
Be1 0.225 0.000 0.156
Ni1 0.000 0.500 0.000
Hg1 0.000 0.000 0.500
```

Results
raw total energy: -3.203 eV per atom


(6)
Computed, not measured: a relaxed structure of Ho4CoNi at the GGA-PBE level of DFT.

CIF file:
```
data_Ho4CoNi
_cell_length_a 6.638
_cell_length_b 6.638
_cell_length_c 12.592
_cell_angle_alpha 90.00
_cell_angle_beta 90.00
_cell_angle_gamma 90.00
_space_group_name_H-M_alt 'I 4/m c m'
_space_group_IT_number 140
_space_group_name_Hall '-I 4 2c'
loop_
_atom_site_label
_atom_site_fract_x
_atom_site_fract_y
_atom_site_fract_z
Ho1 0.184 0.316 0.130
Co1 0.000 0.000 0.250
Ni1 0.000 0.000 0.000
```

Results
raw total energy: -5.356 eV per atom


(7)
Computed, not measured: a relaxed structure of PaSi2TcRh2 at the GGA-PBE level of DFT.

CIF file:
```
data_PaSi2TcRh2
_cell_length_a 3.896
_cell_length_b 3.896
_cell_length_c 14.836
_cell_angle_alpha 90.00
_cell_angle_beta 90.00
_cell_angle_gamma 90.00
_space_group_name_H-M_alt 'I 4/m m m'
_space_group_IT_number 139
_space_group_name_Hall '-I 4 2'
loop_
_atom_site_label
_atom_site_fract_x
_atom_site_fract_y
_atom_site_fract_z
Pa1 0.000 0.000 0.000
Si1 0.000 0.000 0.339
Tc1 0.000 0.000 0.500
Rh1 0.000 0.500 0.250
```

Results
raw total energy: -8.098 eV per atom


(8)
Computed, not measured: a relaxed structure of Pa3TcGe2 at the GGA-PBE level of DFT.

CIF file:
```
data_Pa3TcGe2
_cell_length_a 3.987
_cell_length_b 5.760
_cell_length_c 12.530
_cell_angle_alpha 90.00
_cell_angle_beta 90.00
_cell_angle_gamma 90.00
_space_group_name_H-M_alt 'I m m m'
_space_group_IT_number 71
_space_group_name_Hall '-I 2 2'
loop_
_atom_site_label
_atom_site_fract_x
_atom_site_fract_y
_atom_site_fract_z
Pa1 0.000 0.000 0.000
Pa2 0.000 0.000 0.349
Tc1 0.000 0.500 0.000
Ge1 0.000 0.500 0.324
```

Results
polymorph energy (0 for the lowest one): 0.141 eV/atom